Density functional theory data (PBE) for Pr2CuNi4Ge3 after structural relaxation.

The space group is P-4m2 (No. 115) and the conventional cell measures 4.1857, 4.1857 and 9.5981 Å, with angles of 90.00, 90.00 and 90.00 degrees. The distinct sites, in fractional coordinates, are Pr at (0.0000, 0.5000, 0.2467), Cu at (0.5000, 0.5000, 0.0000), Ni at (0.0000, 0.0000, 0.5000), Ni at (0.0000, 0.5000, 0.8733), Ni at (0.5000, 0.5000, 0.5000), Ge at (0.0000, 0.0000, 0.0000) and Ge at (0.0000, 0.5000, 0.6257).

The value obtained for the final energy is -5.64 eV per atom. The calculated volume comes out at 16.82 Å³/atom. Its formation energy is -580 meV per atom.